No. 1
A geometry-optimized TbMn2GeN structure, computed with PBE.

Values from the calculation:
The energy comes out at -39.4 eV per formula unit.

Cell lengths 5.6795, 5.6795, 7.1636 Å; angles 90.00, 90.00, 142.49 degrees
Atoms (fractional coordinates):
Tb 0.0410 0.9590 0.7500
Tb 0.9590 0.0410 0.2500
Mn 0.3361 0.6639 0.5553
Mn 0.3361 0.6639 0.9447
Mn 0.6639 0.3361 0.0553
Mn 0.6639 0.3361 0.4447
Ge 0.2354 0.7646 0.2500
Ge 0.7646 0.2354 0.7500
N 0.5000 0.5000 0.0000
N 0.5000 0.5000 0.5000

---

No. 2
A geometry-optimized PPbI structure, computed with PBE.

Values from the calculation:
The energy comes out at -11.0 eV per formula unit.

Cell lengths 4.2037, 6.2066, 9.0387 Å; angles 69.96, 88.67, 73.03 degrees
Atoms (fractional coordinates):
P 0.2242 0.4147 0.4641
P 0.7758 0.5853 0.5359
Pb 0.4788 0.2714 0.7814
Pb 0.5212 0.7286 0.2186
I 0.1295 0.8251 0.8309
I 0.8705 0.1749 0.1691

---

No. 3
A geometry-optimized LaAsSe2F structure, computed with PBE.

Values from the calculation:
The energy comes out at -22.8 eV per formula unit.

Cell lengths 5.0343, 5.0343, 4.2413 Å; angles 90.00, 90.00, 90.00 degrees
Atoms (fractional coordinates):
La 0.0000 0.0000 0.0000
As 0.5000 0.5000 0.0000
Se 0.0000 0.5000 0.5000
Se 0.5000 0.0000 0.5000
F 0.5000 0.5000 0.5000

---

No. 4
A geometry-optimized CuAg2Au6 structure, computed with PBE.

Values from the calculation:
For the formation energy, the calculation gives -0.2 eV per formula unit.

Cell lengths 5.0575, 5.0575, 8.7256 Å; angles 106.43, 106.43, 47.90 degrees
Atoms (fractional coordinates):
Cu 0.0000 0.0000 0.0000
Ag 0.3331 0.3331 0.4449
Ag 0.6669 0.6669 0.5551
Au 0.0037 0.0037 0.6730
Au 0.3293 0.3293 0.1078
Au 0.3426 0.3426 0.7853
Au 0.6574 0.6574 0.2147
Au 0.6707 0.6707 0.8922
Au 0.9963 0.9963 0.3270

---

No. 5
A geometry-optimized Zn2RhBr structure, computed with PBE.

Values from the calculation:
The energy comes out at -12.2 eV per formula unit.

Cell lengths 3.3272, 3.6667, 6.9349 Å; angles 90.00, 95.57, 90.00 degrees
Atoms (fractional coordinates):
Zn 0.0000 0.0000 0.0000
Zn 0.0684 0.5000 0.3504
Rh 0.5526 0.0000 0.2750
Br 0.9162 0.5000 0.7496

---

No. 6
A geometry-optimized TaRe2Au structure, computed with PBE.

Values from the calculation:
For the formation energy, the calculation gives 3.1 eV per formula unit.

Cell lengths 10.0236, 10.0236, 10.0236 Å; angles 157.58, 157.58, 31.92 degrees
Atoms (fractional coordinates):
Ta 0.0000 0.0000 0.0000
Ta 0.7500 0.2500 0.5000
Re 0.0704 0.6250 0.9454
Re 0.3750 0.3204 0.4454
Re 0.6796 0.1250 0.0546
Re 0.8750 0.9296 0.5546
Au 0.2500 0.7500 0.5000
Au 0.5000 0.5000 0.0000

---

| no. | volume (Å³ per cell) | magnetic moment (Bohr magnetons per cell) |
| --- | --- | --- |
| 1 | 140.69 | 5.5 |
| 2 | 211.12 | 0.0 |
| 3 | 107.49 | 0.0 |
| 4 | 157.47 | 0.0 |
| 5 | 84.20 | 0.0 |
| 6 | 146.41 | 0.0 |